# CaSi2Bi, optimized geometry, DFT PBE
# Formation energy from raw total energies: -15.3 kJ per mole of atoms
# M_tot: 0.0000 μB/atom
# Density of states at the Fermi level: 1.24 states/eV/f.u.
data_CaSi2Bi
_chemical_formula_sum 'Ca2 Si4 Bi2'
_cell_length_a 4.300
_cell_length_b 5.993
_cell_length_c 8.145
_cell_angle_alpha 77.79
_cell_angle_beta 89.60
_cell_angle_gamma 70.60
_space_group_name_H-M_alt 'P -1'
_space_group_IT_number 2
loop_
_space_group_symop_operation_xyz
'x,y,z'
'-x,-y,-z'
loop_
_atom_site_label
_atom_site_type_symbol
_atom_site_fract_x
_atom_site_fract_y
_atom_site_fract_z
Ca1 Ca 0.026 0.442 0.284
Si1 Si 0.258 0.994 0.640
Si2 Si 0.342 0.796 0.407
Bi1 Bi 0.357 0.779 0.992

***

# Ca6Si2Bi, optimized geometry, DFT PBE
# Formation energy from raw total energies: -49.5 kJ per mole of atoms
# M_tot: 0.0000 μB/atom
# Density of states at the Fermi level: 4.69 states/eV/f.u.
data_Ca6Si2Bi
_chemical_formula_sum 'Ca24 Si8 Bi4'
_cell_length_a 9.730
_cell_length_b 10.281
_cell_length_c 10.817
_cell_angle_alpha 90.00
_cell_angle_beta 90.00
_cell_angle_gamma 90.00
_space_group_name_H-M_alt 'I m m m'
_space_group_IT_number 71
_space_group_name_Hall '-I 2 2'
loop_
_atom_site_label
_atom_site_type_symbol
_atom_site_fract_x
_atom_site_fract_y
_atom_site_fract_z
Ca1 Ca 0.000 0.219 0.233
Ca2 Ca 0.202 0.500 0.181
Ca3 Ca 0.223 0.311 0.500
Si1 Si 0.000 0.379 0.000
Si2 Si 0.000 0.500 0.390
Bi1 Bi 0.000 0.000 0.000
Bi2 Bi 0.000 0.000 0.500

***

# CaSi2Bi, optimized geometry, DFT PBE
# Formation energy from raw total energies: -22.7 kJ per mole of atoms
# M_tot: 0.0000 μB/atom
# Density of states at the Fermi level: 1.41 states/eV/f.u.
data_CaSi2Bi
_chemical_formula_sum 'Ca2 Si4 Bi2'
_cell_length_a 6.632
_cell_length_b 3.806
_cell_length_c 8.841
_cell_angle_alpha 90.00
_cell_angle_beta 107.87
_cell_angle_gamma 90.00
_space_group_name_H-M_alt 'P 1 21/m 1'
_space_group_IT_number 11
loop_
_space_group_symop_operation_xyz
'x,y,z'
'-x,-y,-z'
'-x,y+1/2,-z'
'x,-y+1/2,z'
loop_
_atom_site_label
_atom_site_type_symbol
_atom_site_fract_x
_atom_site_fract_y
_atom_site_fract_z
Ca1 Ca 0.102 0.250 0.325
Si1 Si 0.104 0.750 0.055
Si2 Si 0.395 0.750 0.953
Bi1 Bi 0.379 0.750 0.641

***

# Ca6SiBi2, optimized geometry, DFT PBE
# Formation energy from raw total energies: -58.9 kJ per mole of atoms
# M_tot: 0.2218 μB/atom
# Density of states at the Fermi level: 5.79 states/eV/f.u.
data_Ca6SiBi2
_chemical_formula_sum 'Ca6 Si1 Bi2'
_cell_length_a 8.4023
_cell_length_b 8.4023
_cell_length_c 4.6398
_cell_angle_alpha 90.00
_cell_angle_beta 90.00
_cell_angle_gamma 120.00
_space_group_name_H-M_alt 'P -6 2 m'
_space_group_IT_number 189
_space_group_name_Hall 'P -6 -2'
loop_
_atom_site_label
_atom_site_type_symbol
_atom_site_fract_x
_atom_site_fract_y
_atom_site_fract_z
Ca1 Ca 0.0000 0.3974 0.0000
Ca2 Ca 0.0000 0.7551 0.5000
Si1 Si 0.0000 0.0000 0.0000
Bi1 Bi 0.3333 0.6667 0.5000

***

# CaSi3Bi, optimized geometry, DFT PBE
# Formation energy from raw total energies: 97.7 kJ per mole of atoms
# M_tot: 0.0000 μB/atom
# Density of states at the Fermi level: 3.20 states/eV/f.u.
data_CaSi3Bi
_chemical_formula_sum 'Ca1 Si3 Bi1'
_cell_length_a 5.396
_cell_length_b 5.396
_cell_length_c 5.396
_cell_angle_alpha 90.00
_cell_angle_beta 90.00
_cell_angle_gamma 90.00
_space_group_name_H-M_alt 'P m -3 m'
_space_group_IT_number 221
_space_group_name_Hall '-P 4 2 3'
loop_
_atom_site_label
_atom_site_type_symbol
_atom_site_fract_x
_atom_site_fract_y
_atom_site_fract_z
Ca1 Ca 0.000 0.000 0.000
Si1 Si 0.000 0.500 0.500
Bi1 Bi 0.500 0.500 0.500

***

# CaSi3Bi, optimized geometry, DFT PBE
# Formation energy from raw total energies: 127.3 kJ per mole of atoms
# M_tot: 0.0135 μB/atom
# Density of states at the Fermi level: 5.35 states/eV/f.u.
data_CaSi3Bi
_chemical_formula_sum 'Ca1 Si3 Bi1'
_cell_length_a 5.262
_cell_length_b 5.262
_cell_length_c 5.262
_cell_angle_alpha 90.00
_cell_angle_beta 90.00
_cell_angle_gamma 90.00
_space_group_name_H-M_alt 'P m -3 m'
_space_group_IT_number 221
_space_group_name_Hall '-P 4 2 3'
loop_
_atom_site_label
_atom_site_type_symbol
_atom_site_fract_x
_atom_site_fract_y
_atom_site_fract_z
Ca1 Ca 0.000 0.000 0.000
Si1 Si 0.000 0.000 0.500
Bi1 Bi 0.500 0.500 0.500

***

# CaSi2Bi, optimized geometry, DFT PBE
# Formation energy from raw total energies: -20.9 kJ per mole of atoms
# M_tot: 0.0000 μB/atom
# Density of states at the Fermi level: 1.33 states/eV/f.u.
data_CaSi2Bi
_chemical_formula_sum 'Ca4 Si8 Bi4'
_cell_length_a 18.225
_cell_length_b 4.456
_cell_length_c 4.983
_cell_angle_alpha 90.00
_cell_angle_beta 104.55
_cell_angle_gamma 90.00
_space_group_name_H-M_alt 'C 1 2/m 1'
_space_group_IT_number 12
loop_
_space_group_symop_operation_xyz
'x,y,z'
'-x,-y,-z'
'-x,y,-z'
'x,-y,z'
'x+1/2,y+1/2,z'
'-x+1/2,-y+1/2,-z'
'-x+1/2,y+1/2,-z'
'x+1/2,-y+1/2,z'
loop_
_atom_site_label
_atom_site_type_symbol
_atom_site_fract_x
_atom_site_fract_y
_atom_site_fract_z
Ca1 Ca 0.106 0.000 0.336
Si1 Si 0.214 0.500 0.716
Si2 Si 0.229 0.500 0.232
Bi1 Bi 0.065 0.500 0.791

***

# Ca2Si2Bi, optimized geometry, DFT PBE
# Formation energy from raw total energies: -43.3 kJ per mole of atoms
# M_tot: 0.0000 μB/atom
# Density of states at the Fermi level: 1.14 states/eV/f.u.
data_Ca2Si2Bi
_chemical_formula_sum 'Ca4 Si4 Bi2'
_cell_length_a 7.588
_cell_length_b 7.588
_cell_length_c 4.377
_cell_angle_alpha 90.00
_cell_angle_beta 90.00
_cell_angle_gamma 90.00
_space_group_name_H-M_alt 'P 4/m b m'
_space_group_IT_number 127
_space_group_name_Hall '-P 4 2ab'
loop_
_atom_site_label
_atom_site_type_symbol
_atom_site_fract_x
_atom_site_fract_y
_atom_site_fract_z
Ca1 Ca 0.178 0.322 0.000
Si1 Si 0.110 0.610 0.500
Bi1 Bi 0.000 0.000 0.500

***

# CaSi2Bi, optimized geometry, DFT PBE
# Formation energy from raw total energies: -18.2 kJ per mole of atoms
# M_tot: 0.0000 μB/atom
# Density of states at the Fermi level: 1.42 states/eV/f.u.
data_CaSi2Bi
_chemical_formula_sum 'Ca2 Si4 Bi2'
_cell_length_a 4.435
_cell_length_b 4.309
_cell_length_c 10.014
_cell_angle_alpha 90.00
_cell_angle_beta 90.16
_cell_angle_gamma 90.00
_space_group_name_H-M_alt 'P 1 21/m 1'
_space_group_IT_number 11
loop_
_space_group_symop_operation_xyz
'x,y,z'
'-x,-y,-z'
'-x,y+1/2,-z'
'x,-y+1/2,z'
loop_
_atom_site_label
_atom_site_type_symbol
_atom_site_fract_x
_atom_site_fract_y
_atom_site_fract_z
Ca1 Ca 0.249 0.250 0.257
Si1 Si 0.250 0.750 0.497
Si2 Si 0.251 0.250 0.616
Bi1 Bi 0.253 0.250 0.893

***

# Ca5Si2Bi2, optimized geometry, DFT PBE
# Formation energy from raw total energies: -60.0 kJ per mole of atoms
# M_tot: 0.0000 μB/atom
# Density of states at the Fermi level: 7.83 states/eV/f.u.
data_Ca5Si2Bi2
_chemical_formula_sum 'Ca20 Si8 Bi8'
_cell_length_a 16.056
_cell_length_b 8.281
_cell_length_c 7.857
_cell_angle_alpha 90.00
_cell_angle_beta 90.00
_cell_angle_gamma 90.00
_space_group_name_H-M_alt 'C m c e'
_space_group_IT_number 64
_space_group_name_Hall '-C 2ac 2'
loop_
_atom_site_label
_atom_site_type_symbol
_atom_site_fract_x
_atom_site_fract_y
_atom_site_fract_z
Ca1 Ca 0.000 0.000 0.000
Ca2 Ca 0.129 0.181 0.326
Si1 Si 0.000 0.102 0.611
Bi1 Bi 0.211 0.000 0.000

***

# CaSi2Bi, optimized geometry, DFT PBE
# Formation energy from raw total energies: 19.7 kJ per mole of atoms
# M_tot: 0.0000 μB/atom
# Density of states at the Fermi level: 2.68 states/eV/f.u.
data_CaSi2Bi
_chemical_formula_sum 'Ca4 Si8 Bi4'
_cell_length_a 8.111
_cell_length_b 8.111
_cell_length_c 6.166
_cell_angle_alpha 90.00
_cell_angle_beta 90.00
_cell_angle_gamma 90.00
_space_group_name_H-M_alt 'I -4 2 d'
_space_group_IT_number 122
_space_group_name_Hall 'I -4 2bw'
loop_
_atom_site_label
_atom_site_type_symbol
_atom_site_fract_x
_atom_site_fract_y
_atom_site_fract_z
Ca1 Ca 0.000 0.000 0.000
Si1 Si 0.234 0.250 0.625
Bi1 Bi 0.000 0.000 0.500

***

# Ca5Si2Bi, optimized geometry, DFT PBE
# Formation energy from raw total energies: -61.5 kJ per mole of atoms
# M_tot: 0.0380 μB/atom
# Density of states at the Fermi level: 2.41 states/eV/f.u.
data_Ca5Si2Bi
_chemical_formula_sum 'Ca20 Si8 Bi4'
_cell_length_a 7.824
_cell_length_b 7.824
_cell_length_c 15.000
_cell_angle_alpha 90.00
_cell_angle_beta 90.00
_cell_angle_gamma 90.00
_space_group_name_H-M_alt 'I 4/m c m'
_space_group_IT_number 140
_space_group_name_Hall '-I 4 2c'
loop_
_atom_site_label
_atom_site_type_symbol
_atom_site_fract_x
_atom_site_fract_y
_atom_site_fract_z
Ca1 Ca 0.000 0.000 0.000
Ca2 Ca 0.171 0.329 0.137
Si1 Si 0.114 0.386 0.500
Bi1 Bi 0.000 0.000 0.250

***

# CaSi2Bi, optimized geometry, DFT PBE
# Formation energy from raw total energies: 20.1 kJ per mole of atoms
# M_tot: 0.0000 μB/atom
# Density of states at the Fermi level: 1.63 states/eV/f.u.
data_CaSi2Bi
_chemical_formula_sum 'Ca4 Si8 Bi4'
_cell_length_a 7.270
_cell_length_b 7.270
_cell_length_c 7.270
_cell_angle_alpha 90.00
_cell_angle_beta 90.00
_cell_angle_gamma 90.00
_space_group_name_H-M_alt 'F m -3 m'
_space_group_IT_number 225
_space_group_name_Hall '-F 4 2 3'
loop_
_atom_site_label
_atom_site_type_symbol
_atom_site_fract_x
_atom_site_fract_y
_atom_site_fract_z
Ca1 Ca 0.000 0.000 0.000
Si1 Si 0.250 0.250 0.250
Bi1 Bi 0.000 0.000 0.500

***

# Ca2Si2Bi, optimized geometry, DFT PBE
# Formation energy from raw total energies: -3.2 kJ per mole of atoms
# M_tot: 0.0005 μB/atom
# Density of states at the Fermi level: 5.07 states/eV/f.u.
data_Ca2Si2Bi
_chemical_formula_sum 'Ca4 Si4 Bi2'
_cell_length_a 5.020
_cell_length_b 5.020
_cell_length_c 11.037
_cell_angle_alpha 90.00
_cell_angle_beta 90.00
_cell_angle_gamma 90.00
_space_group_name_H-M_alt 'I 4/m m m'
_space_group_IT_number 139
_space_group_name_Hall '-I 4 2'
loop_
_atom_site_label
_atom_site_type_symbol
_atom_site_fract_x
_atom_site_fract_y
_atom_site_fract_z
Ca1 Ca 0.000 0.500 0.250
Si1 Si 0.000 0.000 0.101
Bi1 Bi 0.000 0.000 0.500

***

# CaSi2Bi, optimized geometry, DFT PBE
# Formation energy from raw total energies: -19.4 kJ per mole of atoms
# M_tot: 0.0000 μB/atom
# Density of states at the Fermi level: 1.14 states/eV/f.u.
data_CaSi2Bi
_chemical_formula_sum 'Ca2 Si4 Bi2'
_cell_length_a 3.806
_cell_length_b 6.386
_cell_length_c 8.935
_cell_angle_alpha 79.88
_cell_angle_beta 78.00
_cell_angle_gamma 72.78
_space_group_name_H-M_alt 'P -1'
_space_group_IT_number 2
loop_
_space_group_symop_operation_xyz
'x,y,z'
'-x,-y,-z'
loop_
_atom_site_label
_atom_site_type_symbol
_atom_site_fract_x
_atom_site_fract_y
_atom_site_fract_z
Ca1 Ca 0.093 0.143 0.175
Si1 Si 0.211 0.249 0.823
Si2 Si 0.417 0.538 0.132
Bi1 Bi 0.362 0.264 0.502

***

# CaSi2Bi, optimized geometry, DFT PBE
# Formation energy from raw total energies: -23.4 kJ per mole of atoms
# M_tot: 0.0000 μB/atom
# Density of states at the Fermi level: 1.60 states/eV/f.u.
data_CaSi2Bi
_chemical_formula_sum 'Ca2 Si4 Bi2'
_cell_length_a 3.800
_cell_length_b 5.973
_cell_length_c 9.112
_cell_angle_alpha 91.51
_cell_angle_beta 101.95
_cell_angle_gamma 90.04
_space_group_name_H-M_alt 'P -1'
_space_group_IT_number 2
loop_
_space_group_symop_operation_xyz
'x,y,z'
'-x,-y,-z'
loop_
_atom_site_label
_atom_site_type_symbol
_atom_site_fract_x
_atom_site_fract_y
_atom_site_fract_z
Ca1 Ca 0.119 0.247 0.237
Si1 Si 0.285 0.059 0.569
Si2 Si 0.286 0.454 0.573
Bi1 Bi 0.448 0.228 0.900

***

# CaSi2Bi, optimized geometry, DFT PBE
# Formation energy from raw total energies: -19.9 kJ per mole of atoms
# M_tot: 0.0000 μB/atom
# Density of states at the Fermi level: 2.34 states/eV/f.u.
data_CaSi2Bi
_chemical_formula_sum 'Ca4 Si8 Bi4'
_cell_length_a 18.960
_cell_length_b 3.741
_cell_length_c 6.417
_cell_angle_alpha 90.00
_cell_angle_beta 109.78
_cell_angle_gamma 90.00
_space_group_name_H-M_alt 'C 1 2/m 1'
_space_group_IT_number 12
loop_
_space_group_symop_operation_xyz
'x,y,z'
'-x,-y,-z'
'-x,y,-z'
'x,-y,z'
'x+1/2,y+1/2,z'
'-x+1/2,-y+1/2,-z'
'-x+1/2,y+1/2,-z'
'x+1/2,-y+1/2,z'
loop_
_atom_site_label
_atom_site_type_symbol
_atom_site_fract_x
_atom_site_fract_y
_atom_site_fract_z
Ca1 Ca 0.086 0.000 0.366
Si1 Si 0.217 0.500 0.526
Si2 Si 0.222 0.500 0.896
Bi1 Bi 0.077 0.500 0.884

***

# CaSi2Bi, optimized geometry, DFT PBE
# Formation energy from raw total energies: -21.2 kJ per mole of atoms
# M_tot: 0.0000 μB/atom
# Density of states at the Fermi level: 0.92 states/eV/f.u.
data_CaSi2Bi
_chemical_formula_sum 'Ca2 Si4 Bi2'
_cell_length_a 6.233
_cell_length_b 3.824
_cell_length_c 8.374
_cell_angle_alpha 90.00
_cell_angle_beta 99.79
_cell_angle_gamma 90.00
_space_group_name_H-M_alt 'P 1 21/m 1'
_space_group_IT_number 11
loop_
_space_group_symop_operation_xyz
'x,y,z'
'-x,-y,-z'
'-x,y+1/2,-z'
'x,-y+1/2,z'
loop_
_atom_site_label
_atom_site_type_symbol
_atom_site_fract_x
_atom_site_fract_y
_atom_site_fract_z
Ca1 Ca 0.198 0.250 0.228
Si1 Si 0.076 0.250 0.578
Si2 Si 0.459 0.250 0.576
Bi1 Bi 0.331 0.750 0.894

***

# CaSi2Bi, optimized geometry, DFT PBE
# Formation energy from raw total energies: -21.7 kJ per mole of atoms
# M_tot: 0.0000 μB/atom
# Density of states at the Fermi level: 0.68 states/eV/f.u.
data_CaSi2Bi
_chemical_formula_sum 'Ca2 Si4 Bi2'
_cell_length_a 6.108
_cell_length_b 3.732
_cell_length_c 9.066
_cell_angle_alpha 90.00
_cell_angle_beta 91.79
_cell_angle_gamma 90.00
_space_group_name_H-M_alt 'P 1 m 1'
_space_group_IT_number 6
loop_
_space_group_symop_operation_xyz
'x,y,z'
'x,-y,z'
loop_
_atom_site_label
_atom_site_type_symbol
_atom_site_fract_x
_atom_site_fract_y
_atom_site_fract_z
Ca1 Ca 0.000 0.000 0.000
Ca2 Ca 0.467 0.500 0.496
Si1 Si 0.164 0.000 0.662
Si2 Si 0.276 0.500 0.807
Si3 Si 0.668 0.500 0.811
Si4 Si 0.779 0.000 0.673
Bi1 Bi 0.530 0.500 0.111
Bi2 Bi 0.958 0.500 0.332

***

# CaSi2Bi, optimized geometry, DFT PBE
# Formation energy from raw total energies: -20.4 kJ per mole of atoms
# M_tot: 0.0000 μB/atom
# Density of states at the Fermi level: 1.14 states/eV/f.u.
data_CaSi2Bi
_chemical_formula_sum 'Ca2 Si4 Bi2'
_cell_length_a 3.853
_cell_length_b 6.064
_cell_length_c 8.957
_cell_angle_alpha 83.15
_cell_angle_beta 80.81
_cell_angle_gamma 89.44
_space_group_name_H-M_alt 'P 1'
_space_group_IT_number 1
loop_
_space_group_symop_operation_xyz
'x,y,z'
loop_
_atom_site_label
_atom_site_type_symbol
_atom_site_fract_x
_atom_site_fract_y
_atom_site_fract_z
Ca1 Ca 0.000 0.000 0.000
Ca2 Ca 0.314 0.405 0.515
Si1 Si 0.430 0.248 0.190
Si2 Si 0.430 0.641 0.182
Si3 Si 0.877 0.119 0.338
Si4 Si 0.877 0.731 0.323
Bi1 Bi 0.156 0.883 0.639
Bi2 Bi 0.593 0.557 0.862